Record 1
Crystalline La5Zn2Pt at its relaxed geometry, computed with PBE-GGA. Values from VASP.

Values from the calculation:
- Spin magnetization: 0.00 μB per cell
- Density: 7.31 g/cm³
- Total energy: -73.3 eV/cell
- ΔH_f (0 K): -0.43 eV/atom
- V: 28.98 A^3/atom
- DOS(E_F): 8.35 states/eV/f.u.

```
&SYSTEM
  ibrav = 0, nat = 16, ntyp = 3
/
ATOMIC_SPECIES
La 138.91 La.upf
Zn 65.41 Zn.upf
Pt 195.08 Pt.upf
CELL_PARAMETERS angstrom
6.8787 0.0000 0.0000
0.0000 12.8394 0.0000
0.0000 0.0000 5.2501
ATOMIC_POSITIONS crystal
La 0.0000 0.0000 0.0000
La 0.1494 0.2899 0.0000
La 0.1641 0.6016 0.5000
La 0.3359 0.1016 0.5000
La 0.3506 0.7899 0.0000
La 0.5000 0.5000 0.0000
La 0.6494 0.2101 0.0000
La 0.6641 0.8984 0.5000
La 0.8359 0.3984 0.5000
La 0.8506 0.7101 0.0000
Zn 0.1081 0.8515 0.5000
Zn 0.3919 0.3515 0.5000
Zn 0.6081 0.6485 0.5000
Zn 0.8919 0.1485 0.5000
Pt 0.0000 0.5000 0.0000
Pt 0.5000 0.0000 0.0000
```

***

Record 2
Crystalline La2Zn6Pt9 at its relaxed geometry, computed with PBE-GGA. Values from VASP.

Values from the calculation:
- Spin magnetization: 0.00 μB per cell
- Density: 12.25 g/cm³
- Total energy: -83.5 eV/cell
- ΔH_f (0 K): -0.69 eV/atom
- V: 19.34 A^3/atom
- DOS(E_F): 5.31 states/eV/f.u.

```
&SYSTEM
  ibrav = 0, nat = 17, ntyp = 3
/
ATOMIC_SPECIES
La 138.91 La.upf
Zn 65.41 Zn.upf
Pt 195.08 Pt.upf
CELL_PARAMETERS angstrom
5.5899 0.0000 0.0000
-2.7949 4.8410 0.0000
0.0000 0.0000 12.1507
ATOMIC_POSITIONS crystal
La 0.0000 0.0000 0.2019
La 0.0000 0.0000 0.7981
Zn 0.3333 0.6667 0.1643
Zn 0.3333 0.6667 0.5000
Zn 0.3333 0.6667 0.8357
Zn 0.6667 0.3333 0.1643
Zn 0.6667 0.3333 0.5000
Zn 0.6667 0.3333 0.8357
Pt 0.0000 0.5000 0.0000
Pt 0.0000 0.5000 0.3312
Pt 0.0000 0.5000 0.6688
Pt 0.5000 0.0000 0.0000
Pt 0.5000 0.0000 0.3312
Pt 0.5000 0.0000 0.6688
Pt 0.5000 0.5000 0.0000
Pt 0.5000 0.5000 0.3312
Pt 0.5000 0.5000 0.6688
```

***

Record 3
Crystalline La3ZnPt at its relaxed geometry, computed with PBE-GGA. Values from VASP.

Values from the calculation:
- Spin magnetization: 0.00 μB per cell
- Density: 7.76 g/cm³
- Total energy: -49.6 eV/cell
- ΔH_f (0 K): -0.54 eV/atom
- V: 28.97 A^3/atom
- DOS(E_F): 5.26 states/eV/f.u.

```
&SYSTEM
  ibrav = 0, nat = 10, ntyp = 3
/
ATOMIC_SPECIES
La 138.91 La.upf
Zn 65.41 Zn.upf
Pt 195.08 Pt.upf
CELL_PARAMETERS angstrom
6.0609 0.0000 0.0000
-2.1849 5.8320 0.0000
-0.5735 -1.0981 8.1958
ATOMIC_POSITIONS crystal
La 0.0000 0.0000 0.0000
La 0.0143 0.7418 0.3692
La 0.2728 0.6243 0.8084
La 0.3754 0.3492 0.3899
La 0.6297 0.3436 0.9942
La 0.7380 0.0780 0.5970
Zn 0.5005 0.8337 0.1891
Zn 0.7656 0.6101 0.6941
Pt 0.2480 0.0853 0.6907
Pt 0.8590 0.2399 0.2855
```

***

Record 4
Crystalline La3ZnPt2 at its relaxed geometry, computed with PBE-GGA. Values from VASP.

Values from the calculation:
- Spin magnetization: 0.00 μB per cell
- Density: 9.06 g/cm³
- Total energy: -133.5 eV/cell
- ΔH_f (0 K): -0.87 eV/atom
- V: 26.64 A^3/atom
- DOS(E_F): 4.72 states/eV/f.u.

```
&SYSTEM
  ibrav = 0, nat = 24, ntyp = 3
/
ATOMIC_SPECIES
La 138.91 La.upf
Zn 65.41 Zn.upf
Pt 195.08 Pt.upf
CELL_PARAMETERS angstrom
12.5368 0.0000 0.0000
0.0000 4.1064 0.0000
0.0000 0.0000 12.4183
ATOMIC_POSITIONS crystal
La 0.0582 0.2500 0.1287
La 0.1295 0.7500 0.5758
La 0.2056 0.2500 0.8267
La 0.2944 0.7500 0.3267
La 0.3705 0.2500 0.0758
La 0.4418 0.7500 0.6287
La 0.5582 0.2500 0.3713
La 0.6295 0.7500 0.9242
La 0.7056 0.2500 0.6733
La 0.7944 0.7500 0.1733
La 0.8705 0.2500 0.4242
La 0.9418 0.7500 0.8713
Zn 0.1183 0.2500 0.3793
Zn 0.3817 0.7500 0.8793
Zn 0.6183 0.2500 0.1207
Zn 0.8817 0.7500 0.6207
Pt 0.0043 0.7500 0.3058
Pt 0.1835 0.7500 0.9944
Pt 0.3165 0.2500 0.4944
Pt 0.4957 0.2500 0.8058
Pt 0.5043 0.7500 0.1942
Pt 0.6835 0.7500 0.5056
Pt 0.8165 0.2500 0.0056
Pt 0.9957 0.2500 0.6942
```

***

Record 5
Crystalline LaZn4Pt4 at its relaxed geometry, computed with PBE-GGA. Values from VASP.

Values from the calculation:
- Spin magnetization: 0.00 μB per cell
- Density: 12.39 g/cm³
- Total energy: -79.3 eV/cell
- ΔH_f (0 K): -0.61 eV/atom
- V: 17.58 A^3/atom
- DOS(E_F): 4.52 states/eV/f.u.

```
&SYSTEM
  ibrav = 0, nat = 18, ntyp = 3
/
ATOMIC_SPECIES
La 138.91 La.upf
Zn 65.41 Zn.upf
Pt 195.08 Pt.upf
CELL_PARAMETERS angstrom
5.9218 0.0000 0.0000
0.0000 5.9218 0.0000
0.0000 0.0000 9.0259
ATOMIC_POSITIONS crystal
La 0.2500 0.7500 0.2500
La 0.7500 0.2500 0.7500
Zn 0.0283 0.2500 0.1660
Zn 0.2500 0.0283 0.6660
Zn 0.2500 0.4717 0.6660
Zn 0.4717 0.2500 0.1660
Zn 0.5283 0.7500 0.8340
Zn 0.7500 0.5283 0.3340
Zn 0.7500 0.9717 0.3340
Zn 0.9717 0.7500 0.8340
Pt 0.0214 0.2500 0.4569
Pt 0.2500 0.0214 0.9569
Pt 0.2500 0.4786 0.9569
Pt 0.4786 0.2500 0.4569
Pt 0.5214 0.7500 0.5431
Pt 0.7500 0.5214 0.0431
Pt 0.7500 0.9786 0.0431
Pt 0.9786 0.7500 0.5431
```

***

Record 6
Crystalline LaZn2Pt4 at its relaxed geometry, computed with PBE-GGA. Values from VASP.

Values from the calculation:
- Spin magnetization: 0.00 μB per cell
- Density: 10.73 g/cm³
- Total energy: -66.2 eV/cell
- ΔH_f (0 K): -0.21 eV/atom
- V: 23.21 A^3/atom
- DOS(E_F): 3.68 states/eV/f.u.

```
&SYSTEM
  ibrav = 0, nat = 14, ntyp = 3
/
ATOMIC_SPECIES
La 138.91 La.upf
Zn 65.41 Zn.upf
Pt 195.08 Pt.upf
CELL_PARAMETERS angstrom
7.9360 0.0000 0.0000
0.0000 7.9360 0.0000
0.0000 0.0000 5.1599
ATOMIC_POSITIONS crystal
La 0.0000 0.0000 0.0000
La 0.5000 0.5000 0.5000
Zn 0.0000 0.5000 0.2500
Zn 0.0000 0.5000 0.7500
Zn 0.5000 0.0000 0.2500
Zn 0.5000 0.0000 0.7500
Pt 0.0000 0.2302 0.5000
Pt 0.0000 0.7698 0.5000
Pt 0.2302 0.0000 0.5000
Pt 0.2698 0.5000 0.0000
Pt 0.5000 0.2698 0.0000
Pt 0.5000 0.7302 0.0000
Pt 0.7302 0.5000 0.0000
Pt 0.7698 0.0000 0.5000
```

***

Record 7
Crystalline LaZn5Pt2 at its relaxed geometry, computed with PBE-GGA. Values from VASP.

Values from the calculation:
- Spin magnetization: 0.00 μB per cell
- Density: 9.57 g/cm³
- Total energy: -55.6 eV/cell
- ΔH_f (0 K): -0.55 eV/atom
- V: 18.57 A^3/atom
- DOS(E_F): 3.71 states/eV/f.u.

```
&SYSTEM
  ibrav = 0, nat = 16, ntyp = 3
/
ATOMIC_SPECIES
La 138.91 La.upf
Zn 65.41 Zn.upf
Pt 195.08 Pt.upf
CELL_PARAMETERS angstrom
4.0656 0.0000 0.0000
0.0000 7.5648 0.0000
0.0000 0.0000 9.6615
ATOMIC_POSITIONS crystal
La 0.0000 0.0000 0.0000
La 0.5000 0.5000 0.5000
Zn 0.0000 0.1806 0.3516
Zn 0.0000 0.1806 0.6484
Zn 0.0000 0.5000 0.0000
Zn 0.0000 0.8194 0.3516
Zn 0.0000 0.8194 0.6484
Zn 0.5000 0.0000 0.5000
Zn 0.5000 0.3194 0.1484
Zn 0.5000 0.3194 0.8516
Zn 0.5000 0.6806 0.1484
Zn 0.5000 0.6806 0.8516
Pt 0.0000 0.5000 0.2624
Pt 0.0000 0.5000 0.7376
Pt 0.5000 0.0000 0.2376
Pt 0.5000 0.0000 0.7624
```

***

Record 8
Crystalline La2Zn2Pt at its relaxed geometry, computed with PBE-GGA. Values from VASP.

Values from the calculation:
- Spin magnetization: 0.76 μB per cell
- Density: 7.85 g/cm³
- Total energy: -39.8 eV/cell
- ΔH_f (0 K): -0.29 eV/atom
- V: 25.54 A^3/atom
- DOS(E_F): 5.63 states/eV/f.u.

```
&SYSTEM
  ibrav = 0, nat = 10, ntyp = 3
/
ATOMIC_SPECIES
La 138.91 La.upf
Zn 65.41 Zn.upf
Pt 195.08 Pt.upf
CELL_PARAMETERS angstrom
5.9315 0.0000 0.0000
0.0000 5.9315 0.0000
0.0000 0.0000 7.2598
ATOMIC_POSITIONS crystal
La 0.0000 0.5000 0.2500
La 0.0000 0.5000 0.7500
La 0.5000 0.0000 0.2500
La 0.5000 0.0000 0.7500
Zn 0.0000 0.0000 0.1570
Zn 0.0000 0.0000 0.8430
Zn 0.5000 0.5000 0.3429
Zn 0.5000 0.5000 0.6570
Pt 0.0000 0.0000 0.5000
Pt 0.5000 0.5000 0.0000
```

***

Record 9
Crystalline La2Zn6Pt3 at its relaxed geometry, computed with PBE-GGA. Values from VASP.

Values from the calculation:
- Spin magnetization: 0.00 μB per cell
- Density: 9.69 g/cm³
- Total energy: -42.8 eV/cell
- ΔH_f (0 K): -0.65 eV/atom
- V: 19.57 A^3/atom
- DOS(E_F): 4.40 states/eV/f.u.

```
&SYSTEM
  ibrav = 0, nat = 11, ntyp = 3
/
ATOMIC_SPECIES
La 138.91 La.upf
Zn 65.41 Zn.upf
Pt 195.08 Pt.upf
CELL_PARAMETERS angstrom
7.8121 0.0000 0.0000
-3.9060 6.7655 0.0000
0.0000 0.0000 4.0724
ATOMIC_POSITIONS crystal
La 0.3333 0.6667 0.0000
La 0.6667 0.3333 0.0000
Zn 0.0000 0.1891 0.0000
Zn 0.0000 0.7250 0.5000
Zn 0.1891 0.0000 0.0000
Zn 0.2750 0.2750 0.5000
Zn 0.7250 0.0000 0.5000
Zn 0.8109 0.8109 0.0000
Pt 0.0000 0.3935 0.5000
Pt 0.3935 0.0000 0.5000
Pt 0.6065 0.6065 0.5000
```

***

Record 10
Crystalline La8ZnPt2 at its relaxed geometry, computed with PBE-GGA. Values from VASP.

Values from the calculation:
- Spin magnetization: 0.00 μB per cell
- Density: 7.43 g/cm³
- Total energy: -57.2 eV/cell
- ΔH_f (0 K): -0.40 eV/atom
- V: 31.84 A^3/atom
- DOS(E_F): 14.02 states/eV/f.u.

```
&SYSTEM
  ibrav = 0, nat = 11, ntyp = 3
/
ATOMIC_SPECIES
La 138.91 La.upf
Zn 65.41 Zn.upf
Pt 195.08 Pt.upf
CELL_PARAMETERS angstrom
4.3854 -7.1230 0.0000
4.3854 7.1230 0.0000
-2.0545 0.0000 5.6069
ATOMIC_POSITIONS crystal
La 0.0000 0.0000 0.0000
La 0.0547 0.2911 0.6284
La 0.1535 0.6261 0.1801
La 0.2911 0.0547 0.6284
La 0.4890 0.7257 0.7317
La 0.6261 0.1535 0.1801
La 0.7257 0.4890 0.7317
La 0.7792 0.7792 0.3594
Zn 0.3893 0.3893 0.1837
Pt 0.1071 0.6732 0.6801
Pt 0.6732 0.1071 0.6801
```